(1)
DFT (PBE) results for crystalline Mg4BiPb3 at its relaxed geometry.

Unit cell a=3.406 b=8.162 c=8.162 alpha=100.59 beta=90.00 gamma=90.00
Sites, in units of the cell vectors:
Pb (0.000, 0.500, 0.000)
Bi (0.500, 0.000, 0.000)
Mg (0.500, 0.758, 0.242)
Mg (0.500, 0.242, 0.758)
Pb (0.000, 0.000, 0.500)
Mg (0.000, 0.752, 0.752)
Mg (0.000, 0.248, 0.248)
Pb (0.500, 0.500, 0.500)

Output
The calculation puts the excess energy over the best structure of this formula in the dataset at 110 meV/atom. The calculation puts the density at 6.91 g cm⁻³. The total energy comes out at -21.051 eV/cell. The value obtained for the energy of formation from the pure elements is 0.0417 eV/atom. The value obtained for the density of states at the Fermi level is 5.0 states/eV/cell.

***

(2)
DFT (PBE) results for crystalline SrLaNi2 at its relaxed geometry.

Unit cell a=6.129 b=6.129 c=6.129 alpha=140.75 beta=140.75 gamma=56.71
Sites, in units of the cell vectors:
Sr (0.500, 0.500, 0.000)
Ni (0.250, 0.750, 0.500)
Ni (0.000, 0.000, 0.000)
La (0.750, 0.250, 0.500)

Output
The calculation puts the excess energy over the best structure of this formula in the dataset at 302 meV/atom. The calculation puts the density at 6.25 g cm⁻³. The total energy comes out at -17.638 eV/cell. The value obtained for the energy of formation from the pure elements is 0.1335 eV/atom. The value obtained for the density of states at the Fermi level is 2.0 states/eV/cell.

***

(3)
DFT (PBE) results for crystalline Hf2ZnSi at its relaxed geometry.

Unit cell a=3.736 b=5.356 c=7.678 alpha=111.10 beta=90.00 gamma=90.00
Sites, in units of the cell vectors:
Hf (0.750, 0.215, 0.923)
Si (0.250, 0.346, 0.709)
Hf (0.250, 0.785, 0.077)
Zn (0.250, 0.338, 0.211)
Zn (0.750, 0.662, 0.789)
Si (0.750, 0.654, 0.291)
Hf (0.750, 0.204, 0.430)
Hf (0.250, 0.796, 0.570)

Output
The calculation puts the density at 10.44 g cm⁻³. The total energy comes out at -57.523 eV/cell. The value obtained for the density of states at the Fermi level is 4.9 states/eV/cell.

***

(4)
DFT (PBE) results for crystalline Pr3Gd at its relaxed geometry.

Unit cell a=5.208 b=5.208 c=5.208 alpha=90.00 beta=90.00 gamma=90.00
Last column: magnetic moment on the atom in μB.
Sites, in units of the cell vectors:
Pr (0.000, 0.500, 0.500)  -0.01
Pr (0.500, 0.000, 0.500)  -0.01
Gd (0.000, 0.000, 0.000)  7.17
Pr (0.500, 0.500, 0.000)  -0.01

Output
The calculation puts the excess energy over the best structure of this formula in the dataset at 0 meV/atom. The calculation puts the density at 6.82 g cm⁻³. The total energy comes out at -28.387 eV/cell. The value obtained for the energy of formation from the pure elements is 0.0082 eV/atom. The value obtained for the density of states at the Fermi level is 6.7 states/eV/cell.

***

(5)
DFT (PBE) results for crystalline Sc2BiTe at its relaxed geometry.

Unit cell a=4.132 b=4.132 c=7.647 alpha=74.33 beta=74.33 gamma=60.00
Last column: magnetic moment on the atom in μB.
Sites, in units of the cell vectors:
Sc (0.081, 0.081, 0.757)  0.03
Bi (0.669, 0.669, 0.994)  0.00
Te (0.498, 0.498, 0.505)  0.00
Sc (0.252, 0.252, 0.244)  0.10

Output
The calculation puts the excess energy over the best structure of this formula in the dataset at 87 meV/atom. The calculation puts the density at 6.59 g cm⁻³. The total energy comes out at -23.084 eV/cell. The value obtained for the density of states at the Fermi level is 3.8 states/eV/cell.

***

(6)
DFT (PBE) results for crystalline ScCo2Si at its relaxed geometry.

Unit cell a=4.807 b=4.807 c=4.807 alpha=136.61 beta=136.61 gamma=63.03
Sites, in units of the cell vectors:
Si (0.750, 0.250, 0.500)
Co (0.250, 0.750, 0.500)
Co (0.000, 0.000, 0.000)
Sc (0.500, 0.500, 0.000)

Output
The calculation puts the density at 6.13 g cm⁻³. The total energy comes out at -27.439 eV/cell. The value obtained for the density of states at the Fermi level is 3.1 states/eV/cell.